The following is a PBE calculation of a relaxed Y5ThN4 crystal, from Alexandria.

Results
VASP energy in eV per cell: -86.0
Magnetic moment in μB/f.u.: 0.0
Formation energy without anion corrections in eV/atom: -1.30

a = 7.918 Å, b = 7.918 Å, c = 7.185 Å
α = 102.75°, β = 102.75°, γ = 25.78°
Element x y z (fractional)
Y 0.000 0.000 0.000
Y 0.332 0.332 0.651
Y 0.337 0.337 0.186
Y 0.663 0.663 0.814
Y 0.668 0.668 0.349
Th 0.000 0.000 0.500
N 0.170 0.170 0.587
N 0.498 0.498 0.243
N 0.502 0.502 0.757
N 0.830 0.830 0.413


The following is a PBE calculation of a relaxed YTh6N8 crystal, from Alexandria.

Results
VASP energy in eV per cell: -139.3
Magnetic moment in μB/f.u.: 0.0
Formation energy without anion corrections in eV/atom: -1.45

a = 7.234 Å, b = 7.234 Å, c = 7.234 Å
α = 60.00°, β = 60.00°, γ = 60.00°
Element x y z (fractional)
Y 0.000 0.000 0.000
Th 0.000 0.000 0.500
Th 0.000 0.500 0.000
Th 0.000 0.500 0.500
Th 0.500 0.000 0.000
Th 0.500 0.000 0.500
Th 0.500 0.500 0.000
N 0.234 0.234 0.766
N 0.234 0.766 0.234
N 0.234 0.766 0.766
N 0.250 0.250 0.250
N 0.750 0.750 0.750
N 0.766 0.234 0.234
N 0.766 0.234 0.766
N 0.766 0.766 0.234


The following is a PBE calculation of a relaxed Y5ThN6 crystal, from Alexandria.

Results
VASP energy in eV per cell: -109.9
Magnetic moment in μB/f.u.: 0.0
Formation energy without anion corrections in eV/atom: -1.69

a = 6.087 Å, b = 6.087 Å, c = 6.087 Å
α = 99.59°, β = 99.59°, γ = 119.99°
Element x y z (fractional)
Y 0.000 0.000 0.000
Y 0.166 0.834 0.500
Y 0.331 0.669 0.000
Y 0.669 0.331 0.000
Y 0.834 0.166 0.500
Th 0.500 0.500 0.500
N 0.083 0.417 0.249
N 0.250 0.250 0.749
N 0.417 0.083 0.249
N 0.583 0.917 0.751
N 0.750 0.750 0.251
N 0.917 0.583 0.751


The following is a PBE calculation of a relaxed Y2ThN crystal, from Alexandria.

Results
VASP energy in eV per cell: -29.4
Magnetic moment in μB/f.u.: 0.0
Relative energy among the computed polymorphs in meV per atom: 495
Formation energy without anion corrections in eV/atom: -0.17

a = 3.222 Å, b = 3.222 Å, c = 8.461 Å
α = 90.00°, β = 90.00°, γ = 90.00°
Element x y z (fractional)
Y 0.000 0.000 0.169
Y 0.000 0.000 0.831
Th 0.500 0.500 0.500
N 0.500 0.500 0.000


The following is a PBE calculation of a relaxed YThN2 crystal, from Alexandria.

Results
VASP energy in eV per cell: -35.9
Magnetic moment in μB/f.u.: 0.0
Formation energy without anion corrections in eV/atom: -1.35

a = 6.423 Å, b = 6.423 Å, c = 6.423 Å
α = 31.95°, β = 31.95°, γ = 31.95°
Element x y z (fractional)
Y 0.000 0.000 0.000
Th 0.174 0.174 0.174
N 0.590 0.590 0.590
N 0.759 0.759 0.759


The following is a PBE calculation of a relaxed YThN2 crystal, from Alexandria.

Results
VASP energy in eV per cell: -37.0
Magnetic moment in μB/f.u.: 0.0
Formation energy without anion corrections in eV/atom: -1.62

a = 3.590 Å, b = 3.590 Å, c = 5.039 Å
α = 90.00°, β = 90.00°, γ = 90.00°
Element x y z (fractional)
Y 0.000 0.000 0.000
Th 0.500 0.500 0.500
N 0.000 0.000 0.500
N 0.500 0.500 0.000


The following is a PBE calculation of a relaxed Y2Th4N crystal, from Alexandria.

Results
VASP energy in eV per cell: -52.4
Magnetic moment in μB/f.u.: 0.0
Formation energy without anion corrections in eV/atom: -0.21

a = 9.307 Å, b = 9.307 Å, c = 9.307 Å
α = 148.41°, β = 148.41°, γ = 45.28°
Element x y z (fractional)
Y 0.149 0.149 0.000
Y 0.851 0.851 0.000
Th 0.000 0.500 0.500
Th 0.361 0.361 0.000
Th 0.500 0.000 0.500
Th 0.639 0.639 0.000
N 0.500 0.500 0.000


The following is a PBE calculation of a relaxed YThN2 crystal, from Alexandria.

Results
VASP energy in eV per cell: -73.6
Magnetic moment in μB/f.u.: 0.0
Formation energy without anion corrections in eV/atom: -1.56

a = 3.573 Å, b = 3.573 Å, c = 11.784 Å
α = 90.00°, β = 90.00°, γ = 120.00°
Element x y z (fractional)
Y 0.333 0.667 0.250
Y 0.667 0.333 0.750
Th 0.000 0.000 0.000
Th 0.000 0.000 0.500
N 0.333 0.667 0.622
N 0.333 0.667 0.878
N 0.667 0.333 0.122
N 0.667 0.333 0.378


The following is a PBE calculation of a relaxed Y2ThN crystal, from Alexandria.

Results
VASP energy in eV per cell: -31.3
Magnetic moment in μB/f.u.: 0.0
Relative energy among the computed polymorphs in meV per atom: 0
Formation energy without anion corrections in eV/atom: -0.66

a = 9.853 Å, b = 9.853 Å, c = 9.853 Å
α = 20.13°, β = 20.13°, γ = 20.13°
Element x y z (fractional)
Y 0.120 0.120 0.120
Y 0.880 0.880 0.880
Th 0.000 0.000 0.000
N 0.500 0.500 0.500


The following is a PBE calculation of a relaxed Y3Th5N8 crystal, from Alexandria.

Results
VASP energy in eV per cell: -148.6
Magnetic moment in μB/f.u.: 0.0
Formation energy without anion corrections in eV/atom: -1.59

a = 7.196 Å, b = 7.196 Å, c = 7.196 Å
α = 60.06°, β = 60.06°, γ = 60.06°
Element x y z (fractional)
Y 0.000 0.500 0.500
Y 0.500 0.000 0.500
Y 0.500 0.500 0.000
Th 0.000 0.000 0.000
Th 0.000 0.000 0.500
Th 0.000 0.500 0.000
Th 0.500 0.000 0.000
Th 0.500 0.500 0.500
N 0.250 0.250 0.746
N 0.250 0.746 0.250
N 0.251 0.251 0.251
N 0.254 0.750 0.750
N 0.746 0.250 0.250
N 0.749 0.749 0.749
N 0.750 0.254 0.750
N 0.750 0.750 0.254


The following is a PBE calculation of a relaxed Y3ThN4 crystal, from Alexandria.

Results
VASP energy in eV per cell: -73.5
Magnetic moment in μB/f.u.: 0.0
Formation energy without anion corrections in eV/atom: -1.67

a = 6.107 Å, b = 6.107 Å, c = 3.539 Å
α = 90.00°, β = 90.00°, γ = 109.33°
Element x y z (fractional)
Y 0.000 0.000 0.000
Y 0.000 0.500 0.500
Y 0.500 0.000 0.500
Th 0.500 0.500 0.000
N 0.249 0.249 0.500
N 0.251 0.749 0.000
N 0.749 0.251 0.000
N 0.751 0.751 0.500


The following is a PBE calculation of a relaxed Y4ThN4 crystal, from Alexandria.

Results
VASP energy in eV per cell: -79.5
Magnetic moment in μB/f.u.: 0.0
Formation energy without anion corrections in eV/atom: -1.44

a = 6.131 Å, b = 6.131 Å, c = 6.131 Å
α = 99.32°, β = 99.32°, γ = 132.54°
Element x y z (fractional)
Y 0.107 0.314 0.421
Y 0.314 0.893 0.207
Y 0.686 0.107 0.793
Y 0.893 0.686 0.579
Th 0.500 0.500 0.000
N 0.203 0.596 0.799
N 0.404 0.203 0.606
N 0.596 0.797 0.394
N 0.797 0.404 0.201


The following is a PBE calculation of a relaxed YTh3N crystal, from Alexandria.

Results
VASP energy in eV per cell: -40.1
Magnetic moment in μB/f.u.: 0.0
Formation energy without anion corrections in eV/atom: -0.61

a = 5.089 Å, b = 5.089 Å, c = 5.089 Å
α = 90.00°, β = 90.00°, γ = 90.00°
Element x y z (fractional)
Y 0.000 0.000 0.000
Th 0.000 0.500 0.500
Th 0.500 0.000 0.500
Th 0.500 0.500 0.000
N 0.500 0.500 0.500


The following is a PBE calculation of a relaxed Y3ThN crystal, from Alexandria.

Results
VASP energy in eV per cell: -37.3
Magnetic moment in μB/f.u.: 0.0
Formation energy without anion corrections in eV/atom: -0.43

a = 4.991 Å, b = 4.991 Å, c = 4.991 Å
α = 90.00°, β = 90.00°, γ = 90.00°
Element x y z (fractional)
Y 0.000 0.000 0.500
Y 0.000 0.500 0.000
Y 0.500 0.000 0.000
Th 0.500 0.500 0.500
N 0.000 0.000 0.000


The following is a PBE calculation of a relaxed Y3Th2ZrN6 crystal, from Alexandria.

Results
VASP energy in eV per cell: -112.2
Magnetic moment in μB/f.u.: 0.0
Formation energy without anion corrections in eV/atom: -1.62

a = 6.092 Å, b = 6.092 Å, c = 6.056 Å
α = 99.61°, β = 99.61°, γ = 119.98°
Element x y z (fractional)
Y 0.000 0.000 0.000
Y 0.337 0.663 0.000
Y 0.663 0.337 0.000
Th 0.167 0.833 0.500
Th 0.833 0.167 0.500
Zr 0.500 0.500 0.500
N 0.098 0.419 0.256
N 0.261 0.261 0.747
N 0.419 0.098 0.256
N 0.581 0.902 0.744
N 0.739 0.739 0.253
N 0.902 0.581 0.744


The following is a PBE calculation of a relaxed Y2ThZr3N6 crystal, from Alexandria.

Results
VASP energy in eV per cell: -115.8
Magnetic moment in μB/f.u.: 0.0
Formation energy without anion corrections in eV/atom: -1.66

a = 5.859 Å, b = 5.859 Å, c = 5.925 Å
α = 99.43°, β = 99.43°, γ = 120.10°
Element x y z (fractional)
Y 0.167 0.833 0.000
Y 0.833 0.167 0.000
Th 0.500 0.500 0.000
Zr 0.000 0.000 0.500
Zr 0.330 0.670 0.500
Zr 0.670 0.330 0.500
N 0.074 0.410 0.730
N 0.254 0.254 0.268
N 0.410 0.074 0.730
N 0.590 0.926 0.270
N 0.746 0.746 0.732
N 0.926 0.590 0.270


The following is a PBE calculation of a relaxed Th3ZnN crystal, from Alexandria.

Results
VASP energy in eV per cell: -34.9
Magnetic moment in μB/f.u.: 0.0
Formation energy without anion corrections in eV/atom: -0.61

a = 4.954 Å, b = 4.954 Å, c = 4.954 Å
α = 90.00°, β = 90.00°, γ = 90.00°
Element x y z (fractional)
Th 0.000 0.000 0.500
Th 0.000 0.500 0.000
Th 0.500 0.000 0.000
Zn 0.500 0.500 0.500
N 0.000 0.000 0.000


The following is a PBE calculation of a relaxed ThZnN crystal, from Alexandria.

Results
VASP energy in eV per cell: -38.8
Magnetic moment in μB/f.u.: 0.0
Formation energy without anion corrections in eV/atom: -0.80

a = 10.609 Å, b = 10.609 Å, c = 10.609 Å
α = 161.21°, β = 161.21°, γ = 26.69°
Element x y z (fractional)
Th 0.180 0.180 0.000
Th 0.820 0.820 0.000
Zn 0.440 0.440 0.000
Zn 0.560 0.560 0.000
N 0.295 0.295 0.000
N 0.705 0.705 0.000


The following is a PBE calculation of a relaxed Th2ZnN crystal, from Alexandria.

Results
VASP energy in eV per cell: -27.2
Magnetic moment in μB/f.u.: 0.0
Formation energy without anion corrections in eV/atom: -0.69

a = 7.802 Å, b = 7.802 Å, c = 7.802 Å
α = 27.64°, β = 27.64°, γ = 27.64°
Element x y z (fractional)
Th 0.229 0.229 0.229
Th 0.771 0.771 0.771
Zn 0.000 0.000 0.000
N 0.500 0.500 0.500


The following is a PBE calculation of a relaxed ThZrN3 crystal, from Alexandria.

Results
VASP energy in eV per cell: -93.9
Magnetic moment in μB/f.u.: 0.0
Formation energy without anion corrections in eV/atom: -1.20

a = 6.269 Å, b = 3.397 Å, c = 6.814 Å
α = 90.00°, β = 95.86°, γ = 90.00°
Element x y z (fractional)
Th 0.230 0.250 0.363
Th 0.770 0.750 0.637
Zr 0.323 0.250 0.855
Zr 0.677 0.750 0.145
N 0.030 0.250 0.670
N 0.317 0.750 0.073
N 0.387 0.750 0.636
N 0.613 0.250 0.364
N 0.683 0.250 0.927
N 0.970 0.750 0.330